# 1
Mg2TlW | Alexandria | GGA-PBE | relaxed; symmetry = P4mm; spin magnetization = 0.4 μB per cell; DFT formation energy = 0.645 eV/atom
1.0
3.491 0.000 0.000
0.000 3.491 0.000
0.000 0.000 6.469
Mg Tl W
2 1 1
Direct
0.000 0.000 0.000
0.500 0.500 0.259
0.000 0.000 0.526
0.500 0.500 0.782


# 2
Mg2TlW | Alexandria | GGA-PBE | relaxed; symmetry = Pmmm; spin magnetization = 0.0 μB per cell; DFT formation energy = 0.507 eV/atom
1.0
3.026 0.000 0.000
0.000 4.276 0.000
0.000 0.000 6.065
Mg Tl W
2 1 1
Direct
0.000 0.000 0.226
0.000 0.000 0.774
0.500 0.500 0.500
0.500 0.500 0.000